# 1
DFT (PBE) results for a relaxed structure of Ti4Re.

The structure belongs to space group P4/nbm (No. 125, origin choice 2); the cell edges are 5.9747, 5.9747 and 4.9648 Å and the angles 90.00°, 90.00° and 90.00°. The inequivalent atoms are Ti at (0.0912, 0.5912, 0.2359) and Re at (0.2500, 0.2500, 0.5000).

The calculation puts the formation energy at 1.1 eV/f.u. The calculation puts the offset from the most stable computed form at 0.00 kcal/mol of atoms. The calculated total energy comes out at -8.594 eV per atom.

# 2
DFT (PBE) results for a relaxed structure of HoSnAu2.

The structure belongs to space group P4/mmm (No. 123); the cell edges are 3.7258, 3.7258 and 6.4742 Å and the angles 90.00°, 90.00° and 90.00°. The inequivalent atoms are Ho at (0.0000, 0.0000, 0.0000), Sn at (0.0000, 0.0000, 0.5000) and Au at (0.5000, 0.5000, 0.2352).

The calculation puts the formation energy at -2.4 eV/f.u. The calculated total energy comes out at -4.385 eV per atom.

# 3
DFT (PBE) results for a relaxed structure of Tm2ZnS.

The structure belongs to space group Cmcm (No. 63); the cell edges are 3.8272, 22.0235 and 4.0533 Å and the angles 90.00°, 90.00° and 90.00°. The inequivalent atoms are Tm at (0.0000, 0.0728, 0.2500), Tm at (0.0000, 0.3161, 0.2500), Zn at (0.0000, 0.4611, 0.2500) and S at (0.0000, 0.1944, 0.2500).

The calculation puts the offset from the most stable computed form at 0.00 kcal/mol of atoms. The calculated total energy comes out at -4.730 eV per atom. The calculation puts the uncorrected formation energy at -1144 meV per atom.

# 4
DFT (PBE) results for a relaxed structure of GaSbAu.

The structure belongs to space group P-1 (No. 2); the cell edges are 4.1276, 5.1912 and 6.5693 Å and the angles 89.40°, 78.36° and 88.52°. The inequivalent atoms are Ga at (0.1498, 0.2104, 0.4123), Sb at (0.2183, 0.7950, 0.0795) and Au at (0.3193, 0.5037, 0.7136).

The calculation puts the offset from the most stable computed form at 0.00 kcal/mol of atoms. The calculated total energy comes out at -3.557 eV per atom. The calculation puts the uncorrected formation energy at -81 meV per atom.